First-principles (GGA-PBE) data for a geometry-optimized Tm2Nb2C3 structure, as listed in the Alexandria database.

Cell and atoms, written as extended XYZ:
```
7
Lattice="5.750 -1.691 0.000 5.750 1.691 0.000 -1.664 0.000 5.492" Properties=species:S:1:pos:R:3 pbc="T T T"
Tm 0.727 0.000 1.885
Tm 9.109 0.000 3.607
Nb 3.797 0.000 0.885
Nb 6.039 0.000 4.608
C 1.558 0.000 4.203
C 4.918 0.000 2.746
C 8.278 0.000 1.290
```

Its crystal system is monoclinic. The energy of formation from the pure elements comes out at -3.392 eV per formula unit. As for the space-group type: No. 12.


First-principles (GGA-PBE) data for a geometry-optimized TmU2NbC4 structure, as listed in the Alexandria database.

Cell and atoms, written as extended XYZ:
```
16
Lattice="-3.369 3.449 4.849 3.369 -3.449 4.849 3.369 3.449 -4.849" Properties=species:S:1:pos:R:3 pbc="T T T"
Tm 0.000 0.000 0.000
Tm 0.000 3.449 0.000
U 3.369 0.000 0.000
U -1.684 1.725 2.425
U 0.000 0.000 4.849
U 1.684 1.725 2.425
Nb 1.684 1.725 -2.425
Nb 1.684 -1.725 2.425
C 3.369 -0.074 2.393
C 3.369 3.376 -2.393
C 1.785 1.725 -0.060
C 4.952 1.725 -0.060
C -1.583 1.725 4.909
C 1.583 1.725 4.909
C 0.000 0.074 7.242
C 0.000 3.523 2.456
```

Its crystal system is orthorhombic. The energy of formation from the pure elements comes out at -2.775 eV per formula unit. As for the space-group type: No. 74.


First-principles (GGA-PBE) data for a geometry-optimized Tm2UNbC4 structure, as listed in the Alexandria database.

Cell and atoms, written as extended XYZ:
```
16
Lattice="-3.385 3.463 4.821 3.385 -3.463 4.821 3.385 3.463 -4.821" Properties=species:S:1:pos:R:3 pbc="T T T"
Tm 0.000 0.000 0.000
Tm -1.693 1.732 2.411
Tm 0.000 3.463 0.000
Tm 1.693 1.732 2.411
U 3.385 0.000 0.000
U 0.000 0.000 4.821
Nb 1.693 1.732 -2.411
Nb 1.693 -1.732 2.411
C 3.385 -0.134 2.326
C 1.814 1.732 -0.129
C 4.956 1.732 -0.129
C 3.385 3.329 -2.326
C 0.000 0.134 7.148
C -1.571 1.732 4.950
C 1.571 1.732 4.950
C 0.000 3.597 2.495
```

Its crystal system is orthorhombic. The energy of formation from the pure elements comes out at -3.380 eV per formula unit. As for the space-group type: No. 74.


First-principles (GGA-PBE) data for a geometry-optimized U3NbC4 structure, as listed in the Alexandria database.

Cell and atoms, written as extended XYZ:
```
16
Lattice="5.973 0.000 0.000 0.000 6.835 0.000 -1.945 0.000 5.485" Properties=species:S:1:pos:R:3 pbc="T T T"
U -0.486 0.819 1.371
U -1.459 2.522 4.114
U -0.486 4.313 1.371
U -1.459 6.016 4.114
U 2.500 2.563 1.371
U 1.527 4.272 4.114
Nb 1.527 0.817 4.114
Nb 2.500 6.018 1.371
C 0.562 2.454 2.804
C 1.535 4.380 0.061
C 1.604 0.810 0.011
C 0.632 6.025 2.754
C 3.395 0.810 2.731
C 2.423 6.025 5.474
C 2.493 2.454 5.424
C 3.465 4.380 2.682
```

Its crystal system is monoclinic. The energy of formation from the pure elements comes out at -2.257 eV per formula unit. As for the space-group type: No. 13.


First-principles (GGA-PBE) data for a geometry-optimized U2NbC structure, as listed in the Alexandria database.

Cell and atoms, written as extended XYZ:
```
4
Lattice="2.512 1.450 3.271 -2.512 1.450 3.271 0.000 -2.901 3.271" Properties=species:S:1:pos:R:3 pbc="T T T"
U 0.000 0.000 2.226
U 0.000 0.000 7.588
Nb 0.000 0.000 4.907
C 0.000 0.000 0.000
```

Its crystal system is trigonal. The energy of formation from the pure elements comes out at 3.478 eV per formula unit. As for the space-group type: No. 166.


First-principles (GGA-PBE) data for a geometry-optimized UNb3C4 structure, as listed in the Alexandria database.

Cell and atoms, written as extended XYZ:
```
8
Lattice="3.269 -4.600 0.000 3.269 4.600 0.000 0.000 0.000 3.265" Properties=species:S:1:pos:R:3 pbc="T T T"
U 0.000 0.000 0.000
Nb 1.634 2.300 1.633
Nb 1.634 -2.300 1.633
Nb 3.269 0.000 0.000
C 3.269 2.287 0.000
C 1.694 0.000 1.633
C 4.843 0.000 1.633
C 3.269 -2.287 0.000
```

Its crystal system is orthorhombic. The energy of formation from the pure elements comes out at -3.741 eV per formula unit. As for the space-group type: No. 65.


First-principles (GGA-PBE) data for a geometry-optimized UNbC2 structure, as listed in the Alexandria database.

Cell and atoms, written as extended XYZ:
```
4
Lattice="1.637 0.945 5.617 -1.637 0.945 5.617 0.000 -1.890 5.617" Properties=species:S:1:pos:R:3 pbc="T T T"
U 0.000 0.000 0.000
Nb 0.000 0.000 8.426
C 0.000 0.000 4.096
C 0.000 0.000 12.755
```

Its crystal system is trigonal. The energy of formation from the pure elements comes out at -1.671 eV per formula unit. As for the space-group type: No. 166. For the distance to the lowest polymorph of the same formula, the calculation gives 0 meV per atom.


First-principles (GGA-PBE) data for a geometry-optimized UNb5C5 structure, as listed in the Alexandria database.

Cell and atoms, written as extended XYZ:
```
11
Lattice="5.135 -2.288 0.000 5.135 2.288 0.000 -2.042 0.000 6.118" Properties=species:S:1:pos:R:3 pbc="T T T"
U 0.000 0.000 0.000
Nb -1.021 0.000 3.059
Nb 1.943 0.000 4.049
Nb 3.032 0.000 0.982
Nb 5.197 0.000 5.135
Nb 6.286 0.000 2.069
C 1.012 0.000 2.067
C 0.046 0.000 5.061
C 5.135 0.000 0.000
C 8.183 0.000 1.057
C 7.217 0.000 4.051
```

Its crystal system is monoclinic. The energy of formation from the pure elements comes out at -5.183 eV per formula unit. As for the space-group type: No. 12.


First-principles (GGA-PBE) data for a geometry-optimized UNbC structure, as listed in the Alexandria database.

Cell and atoms, written as extended XYZ:
```
3
Lattice="3.138 0.000 0.000 -1.569 2.718 0.000 0.000 0.000 5.679" Properties=species:S:1:pos:R:3 pbc="T T T"
U 0.000 0.000 0.000
Nb 1.569 0.906 2.867
C 0.000 1.812 4.063
```

Its crystal system is trigonal. The energy of formation from the pure elements comes out at -0.329 eV per formula unit. As for the space-group type: No. 156. For the distance to the lowest polymorph of the same formula, the calculation gives 0 meV per atom.


First-principles (GGA-PBE) data for a geometry-optimized UNb5C4 structure, as listed in the Alexandria database.

Cell and atoms, written as extended XYZ:
```
10
Lattice="7.006 -1.590 0.000 7.006 1.590 0.000 -1.764 0.000 6.322" Properties=species:S:1:pos:R:3 pbc="T T T"
U 0.000 0.000 0.000
Nb -0.882 0.000 3.161
Nb 3.385 0.000 4.227
Nb 4.393 0.000 0.971
Nb 7.856 0.000 5.351
Nb 8.865 0.000 2.094
C 2.256 0.000 0.559
C 5.635 0.000 4.627
C 6.614 0.000 1.695
C 9.993 0.000 5.763
```

Its crystal system is monoclinic. The energy of formation from the pure elements comes out at -3.574 eV per formula unit. As for the space-group type: No. 12.


First-principles (GGA-PBE) data for a geometry-optimized UNbC2 structure, as listed in the Alexandria database.

Cell and atoms, written as extended XYZ:
```
4
Lattice="1.621 0.936 5.838 -1.621 0.936 5.838 0.000 -1.872 5.838" Properties=species:S:1:pos:R:3 pbc="T T T"
U 0.000 0.000 0.000
Nb 0.000 0.000 14.457
C 0.000 0.000 7.358
C 0.000 0.000 10.014
```

Its crystal system is trigonal. The energy of formation from the pure elements comes out at -0.481 eV per formula unit. As for the space-group type: No. 160. For the distance to the lowest polymorph of the same formula, the calculation gives 298 meV per atom.


First-principles (GGA-PBE) data for a geometry-optimized UNbC structure, as listed in the Alexandria database.

Cell and atoms, written as extended XYZ:
```
3
Lattice="-1.482 1.482 5.089 1.482 -1.482 5.089 1.482 1.482 -5.089" Properties=species:S:1:pos:R:3 pbc="T T T"
U 0.000 0.000 0.000
Nb 0.000 0.000 2.734
C 0.000 0.000 6.843
```

Its crystal system is tetragonal. The energy of formation from the pure elements comes out at 0.817 eV per formula unit. As for the space-group type: No. 107. For the distance to the lowest polymorph of the same formula, the calculation gives 382 meV per atom.


What did the ninth record say?
First-principles (GGA-PBE) data for a geometry-optimized UNbC structure, as listed in the Alexandria database.

Cell and atoms, written as extended XYZ:
```
3
Lattice="3.138 0.000 0.000 -1.569 2.718 0.000 0.000 0.000 5.679" Properties=species:S:1:pos:R:3 pbc="T T T"
U 0.000 0.000 0.000
Nb 1.569 0.906 2.867
C 0.000 1.812 4.063
```

Its crystal system is trigonal. The energy of formation from the pure elements comes out at -0.329 eV per formula unit. As for the space-group type: No. 156. For the distance to the lowest polymorph of the same formula, the calculation gives 0 meV per atom.


- What is the energy of formation from the pure elements in the sixth record?
  -3.741 eV per formula unit